(1)
# Pr6YHo3 (GGA-PBE, optimized geometry)
# - Total DFT energy (no corrections): -4.747 eV per atom
# - ΔE_f: 141 meV per atom
# - SG: No. 36
# - E above lowest polymorph: 0 meV/atom
data_Pr6YHo3
_chemical_formula_sum 'Pr12 Y2 Ho6'
_symmetry_space_group_name_H-M 'P 1'
_symmetry_Int_Tables_number 1
_symmetry_space_group_name_Hall 'P 1'
_cell_length_a 6.4824
_cell_length_b 11.2096
_cell_length_c 11.2096
_cell_angle_alpha 122.03
_cell_angle_beta 90.00
_cell_angle_gamma 90.00
loop_
_atom_site_label
_atom_site_type_symbol
_atom_site_fract_x
_atom_site_fract_y
_atom_site_fract_z
Pr1 Pr 0.0509 0.7208 0.6292
Pr2 Pr 0.5509 0.6292 0.7208
Pr3 Pr 0.3442 0.5047 0.9328
Pr4 Pr 0.8442 0.9328 0.5047
Pr5 Pr 0.3795 0.9710 0.0290
Pr6 Pr 0.6705 0.2829 0.7171
Pr7 Pr 0.1705 0.7171 0.2829
Pr8 Pr 0.8795 0.0290 0.9710
Pr9 Pr 0.3442 0.0672 0.4953
Pr10 Pr 0.8442 0.4953 0.0672
Pr11 Pr 0.0509 0.3708 0.2792
Pr12 Pr 0.5509 0.2792 0.3708
Y1 Y 0.0906 0.1844 0.8156
Y2 Y 0.5906 0.8156 0.1844
Ho1 Ho 0.4845 0.9490 0.7180
Ho2 Ho 0.9845 0.7180 0.9490
Ho3 Ho 0.0856 0.3897 0.6103
Ho4 Ho 0.5856 0.6103 0.3897
Ho5 Ho 0.9845 0.0510 0.2820
Ho6 Ho 0.4845 0.2820 0.0510



(2)
# Pr3Y2Ho6 (GGA-PBE, optimized geometry)
# - Total DFT energy (no corrections): -4.812 eV per atom
# - ΔE_f: 164 meV per atom
# - SG: No. 65
# - E above lowest polymorph: 0 meV/atom
data_Pr3Y2Ho6
_chemical_formula_sum 'Pr3 Y2 Ho6'
_symmetry_space_group_name_H-M 'P 1'
_symmetry_Int_Tables_number 1
_symmetry_space_group_name_Hall 'P 1'
_cell_length_a 5.7325
_cell_length_b 6.7335
_cell_length_c 11.9381
_cell_angle_alpha 78.21
_cell_angle_beta 61.33
_cell_angle_gamma 64.81
loop_
_atom_site_label
_atom_site_type_symbol
_atom_site_fract_x
_atom_site_fract_y
_atom_site_fract_z
Pr1 Pr 0.0000 0.0000 0.0000
Pr2 Pr 0.2938 0.4125 0.0000
Pr3 Pr 0.7062 0.5875 0.0000
Y1 Y 0.1330 0.7339 0.5000
Y2 Y 0.8670 0.2661 0.5000
Ho1 Ho 0.4532 0.7007 0.6970
Ho2 Ho 0.7118 0.0000 0.7889
Ho3 Ho 0.1540 0.2993 0.6970
Ho4 Ho 0.2882 0.0000 0.2111
Ho5 Ho 0.5468 0.2993 0.3030
Ho6 Ho 0.8460 0.7007 0.3030



(3)
# Pr5YHo3 (GGA-PBE, optimized geometry)
# - Total DFT energy (no corrections): -4.624 eV per atom
# - ΔE_f: 275 meV per atom
# - SG: No. 15
# - E above lowest polymorph: 0 meV/atom
data_Pr5YHo3
_chemical_formula_sum 'Pr10 Y2 Ho6'
_symmetry_space_group_name_H-M 'P 1'
_symmetry_Int_Tables_number 1
_symmetry_space_group_name_Hall 'P 1'
_cell_length_a 6.3382
_cell_length_b 11.0314
_cell_length_c 11.8198
_cell_angle_alpha 124.52
_cell_angle_beta 90.00
_cell_angle_gamma 106.70
loop_
_atom_site_label
_atom_site_type_symbol
_atom_site_fract_x
_atom_site_fract_y
_atom_site_fract_z
Pr1 Pr 0.4071 0.0000 0.7500
Pr2 Pr 0.6436 0.6397 0.9702
Pr3 Pr 0.8098 0.2769 0.1180
Pr4 Pr 0.3564 0.3603 0.0298
Pr5 Pr 0.5329 0.7231 0.3820
Pr6 Pr 0.5929 0.0000 0.2500
Pr7 Pr 0.9960 0.6397 0.4702
Pr8 Pr 0.0040 0.3603 0.5298
Pr9 Pr 0.4671 0.2769 0.6180
Pr10 Pr 0.1902 0.7231 0.8820
Y1 Y 0.8963 0.0000 0.7500
Y2 Y 0.1037 0.0000 0.2500
Ho1 Ho 0.0000 0.0000 0.0000
Ho2 Ho 0.3976 0.3526 0.3264
Ho3 Ho 0.0000 0.0000 0.5000
Ho4 Ho 0.6024 0.6474 0.6736
Ho5 Ho 0.9550 0.3526 0.8264
Ho6 Ho 0.0450 0.6474 0.1736



(4)
# Pr4YHo2 (GGA-PBE, optimized geometry)
# - Total DFT energy (no corrections): -4.902 eV per atom
# - ΔE_f: 60 meV per atom
# - SG: No. 43
# - E above lowest polymorph: 0 meV/atom
data_Pr4YHo2
_chemical_formula_sum 'Pr8 Y2 Ho4'
_symmetry_space_group_name_H-M 'P 1'
_symmetry_Int_Tables_number 1
_symmetry_space_group_name_Hall 'P 1'
_cell_length_a 12.6764
_cell_length_b 12.6764
_cell_length_c 6.8680
_cell_angle_alpha 97.01
_cell_angle_beta 97.01
_cell_angle_gamma 150.20
loop_
_atom_site_label
_atom_site_type_symbol
_atom_site_fract_x
_atom_site_fract_y
_atom_site_fract_z
Pr1 Pr 0.7132 0.1754 0.8631
Pr2 Pr 0.1754 0.7132 0.3631
Pr3 Pr 0.1860 0.7945 0.8964
Pr4 Pr 0.7945 0.1860 0.3965
Pr5 Pr 0.0397 0.1483 0.6039
Pr6 Pr 0.5624 0.6002 0.1373
Pr7 Pr 0.6002 0.5624 0.6373
Pr8 Pr 0.1483 0.0397 0.1039
Y1 Y 0.4211 0.6711 0.5003
Y2 Y 0.6711 0.4211 0.0003
Ho1 Ho 0.6221 0.3042 0.4520
Ho2 Ho 0.9205 0.1025 0.0485
Ho3 Ho 0.1025 0.9205 0.5485
Ho4 Ho 0.3042 0.6221 0.9520